(1)
A relaxed structure of Ca2TbHg, computed with PBE.

Structure (POSCAR):
```
Ca2TbHg
1.0
3.654 0.000 0.000
1.827 3.164 0.000
1.827 1.055 11.758
Tb Hg Ca
1 1 2
Direct
0.000 0.000 0.000
0.500 0.500 0.500
0.099 0.099 0.703
0.901 0.901 0.297
```

Computed properties:
Formation energy from the elements: 0.037 eV per atom
Polymorph energy (0 for the lowest one): 212 meV per atom
Mass density: 5.37 g/cm³
Total energy: -2.197 eV per atom

(2)
A relaxed structure of Ca4TbHg5, computed with PBE.

Structure (POSCAR):
```
Ca4TbHg5
1.0
-1.480 3.038 -1.692
-1.818 0.891 3.191
14.797 10.301 5.555
Ca Hg Tb
4 5 1
Direct
0.000 0.000 0.802
0.000 0.000 0.601
0.000 0.000 0.399
0.000 0.000 0.198
0.500 0.500 0.299
0.500 0.500 0.701
0.500 0.500 0.905
0.500 0.500 0.500
0.500 0.500 0.095
0.000 0.000 0.000
```

Computed properties:
Formation energy from the elements: -0.542 eV per atom
Mass density: 8.15 g/cm³
Total energy: -1.957 eV per atom

(3)
A relaxed structure of CaTb3Hg6, computed with PBE.

Structure (POSCAR):
```
CaTb3Hg6
1.0
5.182 0.000 0.000
0.000 8.790 -2.756
0.000 0.133 11.203
Tb Hg Ca
6 12 2
Direct
0.250 0.772 0.990
0.750 0.228 0.010
0.750 0.645 0.202
0.750 0.480 0.615
0.250 0.520 0.385
0.250 0.355 0.798
0.250 0.255 0.510
0.750 0.858 0.800
0.250 0.065 0.896
0.250 0.142 0.200
0.250 0.652 0.698
0.750 0.348 0.302
0.750 0.745 0.490
0.250 0.833 0.302
0.750 0.167 0.698
0.750 0.935 0.104
0.750 0.537 0.912
0.250 0.463 0.088
0.750 0.058 0.395
0.250 0.942 0.605
```

Computed properties:
Formation energy from the elements: -0.440 eV per atom
Mass density: 11.16 g/cm³
Total energy: -2.210 eV per atom

(4)
A relaxed structure of CaTbHg2, computed with PBE.

Structure (POSCAR):
```
CaTbHg2
1.0
3.745 0.000 0.000
0.000 5.314 0.000
0.000 0.000 5.314
Hg Tb Ca
2 1 1
Direct
0.000 0.000 0.500
0.000 0.500 0.000
0.500 0.500 0.500
0.500 0.000 0.000
```

Computed properties:
Formation energy from the elements: -0.539 eV per atom
Mass density: 9.42 g/cm³
Total energy: -2.348 eV per atom

> The highest mass density belongs to which entry?

CaTb3Hg6